# CoBiPO

Crystalline CoBiPO at its relaxed geometry (PBE with a Hubbard U, OQMD).

Values from the calculation:
The mass density comes out at 6.7 g/cm³. As for the excess energy over the best structure of this formula in the dataset: 12.7 kJ per mole of atoms.

a b c (Å): 4.419 6.057 5.833
angles (deg): 90.00 90.00 90.00
Site moments in Bohr magnetons follow the coordinates.
Element x y z (fractional)
O1 0.500 0.342 0.369  0.13
P1 0.000 0.769 0.418  0.06
Co1 0.500 0.364 0.022  2.58
P2 0.000 0.231 0.918  0.06
Bi1 0.000 0.774 0.945  0.03
Bi2 0.000 0.226 0.445  0.03
Co2 0.500 0.636 0.522  2.57
O2 0.500 0.658 0.869  0.13